# Er4Tm2Bi, relaxed, DFT PBE
data_Er4Tm2Bi
_chemical_formula_sum 'Er8 Tm4 Bi2'
_symmetry_space_group_name_H-M 'P 1'
_symmetry_Int_Tables_number 1
_cell_length_a 6.1372
_cell_length_b 11.9262
_cell_length_c 6.0212
_cell_angle_alpha 90.00
_cell_angle_beta 90.00
_cell_angle_gamma 90.00
loop_
_symmetry_equiv_pos_as_xyz
'x,y,z'
loop_
_atom_site_label
_atom_site_fract_x
_atom_site_fract_y
_atom_site_fract_z
Er1 0.0000 0.1318 0.0000
Er2 0.0000 0.3315 0.5000
Er3 0.0000 0.6685 0.5000
Er4 0.0000 0.8682 0.0000
Er5 0.5000 0.1685 0.5000
Er6 0.5000 0.3682 0.0000
Er7 0.5000 0.6318 0.0000
Er8 0.5000 0.8315 0.5000
Tm1 0.0000 0.3822 0.0000
Tm2 0.0000 0.6178 0.0000
Tm3 0.5000 0.1178 0.0000
Tm4 0.5000 0.8822 0.0000
Bi1 0.0000 0.0000 0.5000
Bi2 0.5000 0.5000 0.5000
# calculated formation energy = 3.0 eV per formula unit
# total moment = 0.000 μB/atom
# symmetry = Cmmm (65)
# total energy = -4.017 eV/atom

# Nd2Ni12As7, relaxed, DFT PBE
data_Nd2Ni12As7
_chemical_formula_sum 'Nd2 Ni12 As7'
_symmetry_space_group_name_H-M 'P 1'
_symmetry_Int_Tables_number 1
_cell_length_a 9.4039
_cell_length_b 9.4039
_cell_length_c 3.9068
_cell_angle_alpha 90.00
_cell_angle_beta 90.00
_cell_angle_gamma 120.00
loop_
_symmetry_equiv_pos_as_xyz
'x,y,z'
loop_
_atom_site_label
_atom_site_fract_x
_atom_site_fract_y
_atom_site_fract_z
Nd1 0.0000 0.0000 0.0000
Nd2 0.3333 0.6667 0.5000
Ni1 0.0465 0.7698 0.5000
Ni2 0.0897 0.3816 0.0000
Ni3 0.2302 0.2768 0.5000
Ni4 0.2919 0.9103 0.0000
Ni5 0.4615 0.2383 0.0000
Ni6 0.5186 0.0551 0.5000
Ni7 0.5366 0.4814 0.5000
Ni8 0.6184 0.7081 0.0000
Ni9 0.7232 0.9535 0.5000
Ni10 0.7617 0.2231 0.0000
Ni11 0.7769 0.5385 0.0000
Ni12 0.9449 0.4634 0.5000
As1 0.0681 0.6323 0.0000
As2 0.2662 0.0443 0.5000
As3 0.3677 0.4358 0.0000
As4 0.5642 0.9319 0.0000
As5 0.6667 0.3333 0.5000
As6 0.7781 0.7338 0.5000
As7 0.9557 0.2219 0.5000
# calculated formation energy = -11.2 eV per formula unit
# total moment = 0.000 μB/atom
# symmetry = P-6 (174)
# total energy = -5.840 eV/atom

# Ca2LaThBi4, relaxed, DFT PBE
data_Ca2LaThBi4
_chemical_formula_sum 'Ca2 La1 Th1 Bi4'
_symmetry_space_group_name_H-M 'P 1'
_symmetry_Int_Tables_number 1
_cell_length_a 7.9139
_cell_length_b 4.6894
_cell_length_c 8.1385
_cell_angle_alpha 90.00
_cell_angle_beta 109.98
_cell_angle_gamma 90.00
loop_
_symmetry_equiv_pos_as_xyz
'x,y,z'
loop_
_atom_site_label
_atom_site_fract_x
_atom_site_fract_y
_atom_site_fract_z
Ca1 0.0000 0.0000 0.0000
Ca2 0.0000 0.5000 0.5000
La1 0.5000 0.0000 0.5000
Th1 0.5000 0.5000 0.0000
Bi1 0.2507 0.5000 0.2456
Bi2 0.2526 0.0000 0.7550
Bi3 0.7474 0.0000 0.2450
Bi4 0.7493 0.5000 0.7544
# calculated formation energy = -6.3 eV per formula unit
# total moment = 0.000 μB/atom
# symmetry = P2/m (10)
# total energy = -4.766 eV/atom